Below is crystalline Ac7Mg2In2 at its relaxed geometry, with properties calculated at the PBE-GGA level.

Values from the calculation:
As for the total energy: -3.310 eV/atom. The calculation puts the density of states at the Fermi level at 1.285 states/eV/atom. The calculation puts the total magnetization at 0.0 μB/f.u.

CIF file:
```
data_Ac7Mg2In2
_chemical_formula_sum 'Ac14 Mg4 In4'
_cell_length_a 8.045
_cell_length_b 12.328
_cell_length_c 9.039
_cell_angle_alpha 90.00
_cell_angle_beta 90.00
_cell_angle_gamma 90.00
_space_group_name_H-M_alt 'C m m m'
_space_group_IT_number 65
_space_group_name_Hall '-C 2 2'
loop_
_atom_site_label
_atom_site_fract_x
_atom_site_fract_y
_atom_site_fract_z
_atom_site_occupancy
Ac1 0.000 0.000 0.000 1
Ac2 0.000 0.500 0.246 1
Ac3 0.250 0.250 0.298 1
Mg1 0.000 0.285 0.000 1
In1 0.181 0.000 0.500 1
```